A relaxed Pr8TlZn2 crystal, computed with PBE.

Cell: 9.3504 9.3504 8.1226 Å, 112.84 112.84 31.79°
Last column: nearest neighbours and their distance in Å.
Element x y z (fractional)
Pr 0.0407 0.0407 0.2565  1 Zn 3.10
Pr 0.1830 0.1830 0.7785  3 Zn 3.06-3.32
Pr 0.3216 0.3216 0.5336  1 Zn 2.98, 1 Tl 3.33
Pr 0.4062 0.4062 0.0356  2 Zn 3.15, 1 Tl 3.46, 2 Pr 3.48
Pr 0.5938 0.5938 0.9644  2 Zn 3.15, 1 Tl 3.46, 2 Pr 3.48
Pr 0.6784 0.6784 0.4664  1 Zn 2.98, 1 Tl 3.33
Pr 0.8170 0.8170 0.2215  3 Zn 3.06-3.32
Pr 0.9593 0.9593 0.7435  1 Zn 3.10
Tl 0.5000 0.5000 0.5000  8 Pr 3.33-3.49
Zn 0.1914 0.1914 0.1621  7 Pr 2.98-3.32
Zn 0.8086 0.8086 0.8379  7 Pr 2.98-3.32

## Properties
- symmetry = No. 12

A relaxed Pr8Tl2Zn crystal, computed with PBE.

Cell: 10.1929 10.1929 6.9966 Å, 105.66 105.66 30.57°
Last column: nearest neighbours and their distance in Å.
Element x y z (fractional)
Pr 0.0116 0.0116 0.2754  2 Zn 3.15, 3 Pr 3.30-3.50, 1 Tl 3.33
Pr 0.2078 0.2078 0.8109  3 Tl 3.26-3.60, 2 Pr 3.48
Pr 0.3459 0.3459 0.5131  1 Zn 3.06, 3 Tl 3.27-3.31
Pr 0.4087 0.4087 0.0335  1 Zn 3.26, 2 Tl 3.48, 3 Pr 3.50
Pr 0.5913 0.5913 0.9665  1 Zn 3.26, 2 Tl 3.48, 3 Pr 3.50
Pr 0.6541 0.6541 0.4869  1 Zn 3.06, 3 Tl 3.27-3.31
Pr 0.7922 0.7922 0.1890  3 Tl 3.26-3.60, 2 Pr 3.48
Pr 0.9884 0.9884 0.7246  2 Zn 3.15, 3 Pr 3.30-3.50, 1 Tl 3.33
Tl 0.1779 0.1779 0.2460  9 Pr 3.26-3.60
Tl 0.8221 0.8221 0.7540  9 Pr 3.26-3.60
Zn 0.5000 0.5000 0.5000  8 Pr 3.06-3.26

## Properties
- relative energy among the computed polymorphs (meV/atom) = 18
- symmetry = No. 12

A relaxed Pr5Tl5Zn2 crystal, computed with PBE.

Cell: 8.7085 8.7085 10.6535 Å, 126.83 126.83 32.52°
Last column: nearest neighbours and their distance in Å.
Element x y z (fractional)
Pr 0.0000 0.0000 0.0000  6 Tl 3.30, 4 Zn 3.30, 2 Pr 3.67
Pr 0.1202 0.1202 0.4296  3 Zn 3.18-3.37, 7 Tl 3.45-3.53
Pr 0.1735 0.1735 0.8322  5 Tl 3.27-3.63, 1 Zn 3.51
Pr 0.8265 0.8265 0.1678  5 Tl 3.27-3.63, 1 Zn 3.51
Pr 0.8798 0.8798 0.5704  3 Zn 3.18-3.37, 7 Tl 3.45-3.53
Tl 0.2518 0.2518 0.2779  2 Zn 2.86
Tl 0.4488 0.4488 0.1484  1 Zn 2.85
Tl 0.5000 0.5000 0.5000  4 Tl 3.25-3.28, 4 Pr 3.53
Tl 0.5512 0.5512 0.8516  1 Zn 2.85
Tl 0.7482 0.7482 0.7221  2 Zn 2.86
Zn 0.3490 0.3490 0.7548  3 Tl 2.85-2.86, 1 Pr 3.18
Zn 0.6510 0.6510 0.2452  3 Tl 2.85-2.86, 1 Pr 3.18

## Properties
- symmetry = No. 12

A relaxed Pr4Tl2Zn crystal, computed with PBE.

Cell: 9.2973 9.2973 9.2973 Å, 33.95 33.95 33.95°
Last column: nearest neighbours and their distance in Å.
Element x y z (fractional)
Pr 0.1238 0.1238 0.1238  4 Tl 3.30-3.31, 3 Zn 3.33
Pr 0.3750 0.3750 0.3750  1 Zn 3.28, 4 Tl 3.29-3.32
Pr 0.6250 0.6250 0.6250  1 Zn 3.28, 4 Tl 3.29-3.32
Pr 0.8762 0.8762 0.8762  4 Tl 3.30-3.31, 3 Zn 3.33
Tl 0.2496 0.2496 0.2496  8 Pr 3.29-3.32
Tl 0.7504 0.7504 0.7504  8 Pr 3.29-3.32
Zn 0.5000 0.5000 0.5000  8 Pr 3.28-3.33

## Properties
- relative energy among the computed polymorphs (meV/atom) = 0
- symmetry = No. 166

A relaxed Pr3Tl3Zn crystal, computed with PBE.

Cell: 6.3229 6.3229 15.6379 Å, 108.06 108.06 44.10°
Last column: nearest neighbours and their distance in Å.
Element x y z (fractional)
Pr 0.0376 0.0376 0.3856  7 Tl 3.30-3.61, 4 Zn 3.39-3.66
Pr 0.0962 0.0962 0.9191  7 Tl 3.23-3.54
Pr 0.2415 0.2415 0.2272  6 Tl 3.29-3.51, 2 Zn 3.41
Pr 0.7585 0.7585 0.7728  6 Tl 3.29-3.51, 2 Zn 3.41
Pr 0.9038 0.9038 0.0809  7 Tl 3.23-3.54
Pr 0.9624 0.9624 0.6144  7 Tl 3.30-3.61, 4 Zn 3.39-3.66
Tl 0.3569 0.3569 0.4580  3 Zn 2.78-3.07
Tl 0.3748 0.3748 0.9253  2 Tl 3.08-3.12, 5 Pr 3.23-3.33
Tl 0.4743 0.4743 0.7637  1 Zn 2.81, 1 Tl 3.12
Tl 0.5257 0.5257 0.2363  1 Zn 2.81, 1 Tl 3.12
Tl 0.6252 0.6252 0.0747  2 Tl 3.08-3.12, 5 Pr 3.23-3.33
Tl 0.6431 0.6431 0.5420  3 Zn 2.78-3.07
Zn 0.2572 0.2572 0.6160  4 Tl 2.78-3.07
Zn 0.7428 0.7428 0.3840  4 Tl 2.78-3.07

## Properties
- symmetry = No. 12

A relaxed Pr7Tl4Zn crystal, computed with PBE.

Cell: 9.1164 9.1164 8.9532 Å, 116.70 116.70 35.85°
Last column: nearest neighbours and their distance in Å.
Element x y z (fractional)
Pr 0.0000 0.0000 0.0000  2 Zn 2.81
Pr 0.2129 0.2129 0.6100  4 Tl 3.16-3.29
Pr 0.3415 0.3415 0.0731  1 Zn 3.11, 3 Tl 3.32-3.45
Pr 0.4281 0.4281 0.6131  1 Zn 3.08, 2 Tl 3.40
Pr 0.5719 0.5719 0.3869  1 Zn 3.08, 2 Tl 3.40
Pr 0.6585 0.6585 0.9269  1 Zn 3.11, 3 Tl 3.32-3.45
Pr 0.7871 0.7871 0.3900  4 Tl 3.16-3.29
Tl 0.0524 0.0524 0.6966  1 Tl 3.11, 6 Pr 3.22-3.45
Tl 0.2046 0.2046 0.2352  5 Pr 3.16-3.32
Tl 0.7954 0.7954 0.7648  5 Pr 3.16-3.32
Tl 0.9476 0.9476 0.3034  1 Tl 3.11, 6 Pr 3.22-3.45
Zn 0.5000 0.5000 0.0000  6 Pr 2.81-3.11

## Properties
- symmetry = No. 12

no.,calculated volume (A^3/atom),E_form (eV/f.u.),energy (eV/atom)
1,31.12,-1.648,-4.0725
2,32.26,-1.840,-4.1894
3,28.27,-3.957,-3.5195
4,31.92,-1.578,-3.8146
5,29.29,-2.357,-3.5812
6,32.01,-2.660,-3.9046